A plane-wave DFT calculation with PBE was carried out for crystalline Cu2SbP at its relaxed geometry.

The calculation puts the total energy at -4.318 eV per atom. The value obtained for the calculated volume is 139.7 Å³ per cell.

The space group is Cm (No. 8) and the conventional cell measures 7.492, 3.490 and 5.960 Å, with angles of 90.00, 116.31 and 90.00 degrees. Symmetry generates all atoms from Cu at (0.000, 0.000, 0.000), Cu at (0.219, 0.000, 0.783), Sb at (0.305, 0.500, 0.271) and P at (0.478, 0.000, 0.680).